# K4Pa3Te8

K4Pa3Te8 after structural relaxation (GGA-PBE, Alexandria via LeMat-Bulk).

```
15
Lattice="8.048 0.000 4.340 2.853 7.525 4.340 -0.386 -0.267 10.348" Properties=species:S:1:pos:R:3 pbc="T T T"
Te 8.133 5.614 13.813
Te 3.653 5.551 7.236
Te 6.862 1.707 11.792
Te 2.473 1.707 9.425
Te 2.382 1.644 5.215
Te 8.042 5.551 9.604
Te 4.029 5.811 11.792
Te 6.486 1.447 7.236
K 0.000 0.000 0.000
K 3.532 2.438 12.713
K 5.257 3.629 9.514
K 6.983 4.820 6.315
Pa -0.193 -0.133 5.174
Pa 1.233 3.629 7.344
Pa 3.831 -0.133 7.344
```

* SG: R-3m
* DOS at the Fermi energy: 15.2 states/eV per cell
* ΔE_f (raw): -938 meV per atom